1.
The following is a PBE calculation of Ga2TcH after structural relaxation, from Alexandria via LeMat-Bulk.

Output
distance to the lowest polymorph of the same formula	0.58	eV/f.u.
final energy	-0.35983	Ry per atom
Fermi-level density of states	0.2657	states/eV/atom
space-group type	R-3m

Cell: 7.618 7.618 7.618 Å, 22.21 22.21 22.21°
Element x y z (fractional)
Ga: 0.079 0.079 0.079
Ga: 0.921 0.921 0.921
Tc: 0.500 0.500 0.500
H: 0.000 0.000 0.000


2.
The following is a PBE calculation of GaTcH after structural relaxation, from Alexandria via LeMat-Bulk.

Output
distance to the lowest polymorph of the same formula	1.33	eV/f.u.
final energy	-0.38341	Ry per atom
Fermi-level density of states	0.4527	states/eV/atom
space-group type	P3_212

Cell: 4.604 4.604 6.216 Å, 90.00 90.00 120.00°
Element x y z (fractional)
Ga: 0.216 0.108 0.000
Ga: 0.892 0.108 0.667
Ga: 0.892 0.784 0.333
Tc: 0.550 0.099 0.333
Tc: 0.550 0.450 0.667
Tc: 0.901 0.450 0.000
H: 0.330 0.665 0.000
H: 0.335 0.665 0.667
H: 0.335 0.670 0.333


3.
The following is a PBE calculation of Ga2TcH2 after structural relaxation, from Alexandria via LeMat-Bulk.

Output
distance to the lowest polymorph of the same formula	0.00	eV/f.u.
final energy	-0.32528	Ry per atom
Fermi-level density of states	0.4346	states/eV/atom
space-group type	P4/mbm

Cell: 5.675 5.675 3.353 Å, 90.00 90.00 90.00°
Element x y z (fractional)
Ga: 0.155 0.345 0.000
Ga: 0.345 0.845 0.000
Ga: 0.655 0.155 0.000
Ga: 0.845 0.655 0.000
Tc: 0.000 0.000 0.500
Tc: 0.500 0.500 0.500
H: 0.218 0.718 0.500
H: 0.282 0.218 0.500
H: 0.718 0.782 0.500
H: 0.782 0.282 0.500


4.
The following is a PBE calculation of Ga2TcH after structural relaxation, from Alexandria via LeMat-Bulk.

Output
distance to the lowest polymorph of the same formula	3.09	eV/f.u.
final energy	-0.31372	Ry per atom
Fermi-level density of states	0.4570	states/eV/atom
space-group type	Fm-3m

Cell: 4.246 4.246 4.246 Å, 60.00 60.00 60.00°
Element x y z (fractional)
Ga: 0.250 0.250 0.250
Ga: 0.750 0.750 0.750
Tc: 0.000 0.000 0.000
H: 0.500 0.500 0.500


5.
The following is a PBE calculation of GaTc2H after structural relaxation, from Alexandria via LeMat-Bulk.

Output
distance to the lowest polymorph of the same formula	2.40	eV/f.u.
final energy	-0.46215	Ry per atom
Fermi-level density of states	0.3776	states/eV/atom
space-group type	R-3m

Cell: 4.774 4.774 4.774 Å, 54.42 54.42 54.42°
Element x y z (fractional)
Ga: 0.000 0.000 0.000
Tc: 0.360 0.360 0.360
Tc: 0.640 0.640 0.640
H: 0.500 0.500 0.500


6.
The following is a PBE calculation of GaTcH4 after structural relaxation, from Alexandria via LeMat-Bulk.

Output
final energy	-0.32168	Ry per atom
Fermi-level density of states	0.2108	states/eV/atom
space-group type	Cmcm

Cell: 5.460 5.460 5.466 Å, 90.00 90.00 132.86°
Element x y z (fractional)
Ga: 0.000 0.000 0.000
Ga: 0.000 0.000 0.500
Tc: 0.450 0.550 0.750
Tc: 0.550 0.450 0.250
H: 0.107 0.478 0.750
H: 0.372 0.628 0.024
H: 0.372 0.628 0.476
H: 0.478 0.107 0.250
H: 0.522 0.893 0.750
H: 0.628 0.372 0.524
H: 0.628 0.372 0.976
H: 0.893 0.522 0.250